Computed, not measured: a relaxed structure of CsFe3Co at the PBE-GGA level of DFT.

Values from the calculation:
Energy of formation = 3.00 eV per atom
Crystal system = cubic
Theoretical density = 5.80 g cm⁻³
DOS(E_F) = 2.570 states/eV per atom

Lattice parameters (Å, degrees): 4.6847 4.6847 4.6847 90.00 90.00 90.00
Closest atoms and distances in Å follow each position.
Fractional positions:
Cs1 0.0000 0.0000 0.0000  6 Fe 2.34
Fe1 0.0000 0.0000 0.5000  2 Cs 2.34
Fe2 0.0000 0.5000 0.0000  2 Cs 2.34
Fe3 0.5000 0.0000 0.0000  2 Cs 2.34
Co1 0.5000 0.5000 0.5000  12 Fe 3.31



Computed, not measured: a relaxed structure of CsFe3Co at the PBE-GGA level of DFT.

Values from the calculation:
Energy of formation = 1.20 eV per atom
Crystal system = cubic
Theoretical density = 5.80 g cm⁻³
DOS(E_F) = 1.025 states/eV per atom

Lattice parameters (Å, degrees): 4.6860 4.6860 4.6860 90.00 90.00 90.00
Closest atoms and distances in Å follow each position.
Fractional positions:
Cs1 0.0000 0.0000 0.0000  12 Fe 3.31
Fe1 0.0000 0.5000 0.5000  2 Co 2.34
Fe2 0.5000 0.0000 0.5000  2 Co 2.34
Fe3 0.5000 0.5000 0.0000  2 Co 2.34
Co1 0.5000 0.5000 0.5000  6 Fe 2.34



Computed, not measured: a relaxed structure of CsLi2FeCo at the PBE-GGA level of DFT.

Values from the calculation:
Energy of formation = 1.89 eV per atom
Crystal system = tetragonal
Theoretical density = 3.55 g cm⁻³
DOS(E_F) = 1.631 states/eV per atom

Lattice parameters (Å, degrees): 4.9538 4.9538 4.9913 90.00 90.00 90.00
Closest atoms and distances in Å follow each position.
Fractional positions:
Cs1 0.0000 0.0000 0.0000  4 Li 2.48, 2 Fe 2.50
Li1 0.0000 0.5000 0.0000  2 Cs 2.48
Li2 0.5000 0.0000 0.0000  2 Cs 2.48
Fe1 0.0000 0.0000 0.5000  2 Cs 2.50
Co1 0.5000 0.5000 0.5000  4 Fe 3.50, 8 Li 3.52



Computed, not measured: a relaxed structure of CsFeCo2Ru at the PBE-GGA level of DFT.

Values from the calculation:
Energy of formation = 2.82 eV per atom
Crystal system = tetragonal
Theoretical density = 6.89 g cm⁻³
DOS(E_F) = 1.236 states/eV per atom

Lattice parameters (Å, degrees): 4.5785 4.5785 4.6896 90.00 90.00 90.00
Closest atoms and distances in Å follow each position.
Fractional positions:
Cs1 0.0000 0.0000 0.0000  4 Co 2.29, 2 Fe 2.34
Fe1 0.0000 0.0000 0.5000  2 Cs 2.34
Co1 0.0000 0.5000 0.0000  2 Cs 2.29
Co2 0.5000 0.0000 0.0000  2 Cs 2.29
Ru1 0.5000 0.5000 0.5000  4 Fe 3.24, 8 Co 3.28



Computed, not measured: a relaxed structure of Cs2FeCoSe4 at the PBE-GGA level of DFT.

Values from the calculation:
Crystal system = orthorhombic
Theoretical density = 4.39 g cm⁻³
Formation energy from raw total energies = -0.707 eV per atom
DOS(E_F) = 0.616 states/eV per atom

Lattice parameters (Å, degrees): 14.7069 13.0383 7.8800 85.59 62.12 32.29
Closest atoms and distances in Å follow each position.
Fractional positions:
Cs1 0.0536 0.0536 0.6964  8 Se 3.70-3.92
Cs2 0.3036 0.3036 0.9464  8 Se 3.70-3.92
Cs3 0.6964 0.6964 0.0536  8 Se 3.70-3.92
Cs4 0.9464 0.9464 0.3036  8 Se 3.70-3.92
Fe1 0.1250 0.1250 0.1250  4 Se 2.34
Fe2 0.8750 0.8750 0.8750  4 Se 2.34
Co1 0.3750 0.3750 0.3750  4 Se 2.33
Co2 0.6250 0.6250 0.6250  4 Se 2.33
Se1 0.0154 0.3380 0.4139  1 Co 2.33, 1 Fe 2.34
Se2 0.2673 0.5861 0.6620  1 Co 2.33, 1 Fe 2.34
Se3 0.3380 0.0154 0.7327  1 Co 2.33, 1 Fe 2.34
Se4 0.4139 0.7327 0.0154  1 Co 2.33, 1 Fe 2.34
Se5 0.5861 0.2673 0.9846  1 Co 2.33, 1 Fe 2.34
Se6 0.6620 0.9846 0.2673  1 Co 2.33, 1 Fe 2.34
Se7 0.7327 0.4139 0.3380  1 Co 2.33, 1 Fe 2.34
Se8 0.9846 0.6620 0.5861  1 Co 2.33, 1 Fe 2.34



Computed, not measured: a relaxed structure of CsFeCo2Sn at the PBE-GGA level of DFT.

Values from the calculation:
Energy of formation = 2.28 eV per atom
Crystal system = tetragonal
Theoretical density = 6.60 g cm⁻³
DOS(E_F) = 2.051 states/eV per atom

Lattice parameters (Å, degrees): 4.6894 4.6894 4.8644 90.00 90.00 90.00
Closest atoms and distances in Å follow each position.
Fractional positions:
Cs1 0.0000 0.0000 0.0000  4 Co 2.34, 2 Fe 2.43
Fe1 0.0000 0.0000 0.5000  2 Cs 2.43
Co1 0.0000 0.5000 0.0000  2 Cs 2.34
Co2 0.5000 0.0000 0.0000  2 Cs 2.34
Sn1 0.5000 0.5000 0.5000  4 Fe 3.32, 8 Co 3.38



Computed, not measured: a relaxed structure of Cs3GaCo at the PBE-GGA level of DFT.

Values from the calculation:
Energy of formation = 0.84 eV per atom
Crystal system = cubic
Theoretical density = 3.34 g cm⁻³
DOS(E_F) = 2.890 states/eV per atom

Lattice parameters (Å, degrees): 6.3974 6.3974 6.3974 90.00 90.00 90.00
Closest atoms and distances in Å follow each position.
Fractional positions:
Cs1 0.0000 0.0000 0.5000  2 Co 3.20
Cs2 0.0000 0.5000 0.0000  2 Co 3.20
Cs3 0.5000 0.0000 0.0000  2 Co 3.20
Ga1 0.5000 0.5000 0.5000  12 Cs 4.52
Co1 0.0000 0.0000 0.0000  6 Cs 3.20



Computed, not measured: a relaxed structure of CsGa2Co at the PBE-GGA level of DFT.

Values from the calculation:
Energy of formation = 0.06 eV per atom
Crystal system = tetragonal
Theoretical density = 4.06 g cm⁻³
DOS(E_F) = 0.767 states/eV per atom

Lattice parameters (Å, degrees): 7.2474 7.2474 7.2474 119.59 119.59 90.70
Closest atoms and distances in Å follow each position.
Fractional positions:
Cs1 0.0000 0.0000 0.0000  12 Ga 4.23-4.28, 4 Co 4.45, 4 Cs 4.45
Cs2 0.7500 0.2500 0.5000  12 Ga 4.23-4.28, 4 Co 4.45, 4 Cs 4.45
Ga1 0.3742 0.6250 0.2492  2 Co 2.22
Ga2 0.3750 0.6242 0.7492  2 Co 2.22
Ga3 0.3758 0.1250 0.7508  2 Co 2.22
Ga4 0.8750 0.6258 0.2508  2 Co 2.22
Co1 0.2500 0.7500 0.5000  4 Ga 2.22
Co2 0.5000 0.5000 0.0000  4 Ga 2.22



Computed, not measured: a relaxed structure of CsGaCo3 at the PBE-GGA level of DFT.

Values from the calculation:
Energy of formation = 2.35 eV per atom
Crystal system = cubic
Theoretical density = 5.77 g cm⁻³
DOS(E_F) = 1.277 states/eV per atom

Lattice parameters (Å, degrees): 4.7797 4.7797 4.7797 90.00 90.00 90.00
Closest atoms and distances in Å follow each position.
Fractional positions:
Cs1 0.0000 0.0000 0.0000  6 Co 2.39
Ga1 0.5000 0.5000 0.5000  12 Co 3.38
Co1 0.0000 0.0000 0.5000  2 Cs 2.39
Co2 0.0000 0.5000 0.0000  2 Cs 2.39
Co3 0.5000 0.0000 0.0000  2 Cs 2.39



Computed, not measured: a relaxed structure of Cs2Ga4Co at the PBE-GGA level of DFT.

Values from the calculation:
Energy of formation = -0.03 eV per atom
Crystal system = tetragonal
Theoretical density = 4.54 g cm⁻³
DOS(E_F) = 0.625 states/eV per atom

Lattice parameters (Å, degrees): 10.5446 10.5446 10.5446 154.26 154.26 36.72
Closest atoms and distances in Å follow each position.
Fractional positions:
Cs1 0.1695 0.1695 0.0000  4 Ga 3.50
Cs2 0.8305 0.8305 0.0000  4 Ga 3.50
Ga1 0.0000 0.5000 0.5000  2 Co 2.35
Ga2 0.3860 0.3860 0.0000  1 Co 2.28
Ga3 0.5000 0.0000 0.5000  2 Co 2.35
Ga4 0.6140 0.6140 0.0000  1 Co 2.28
Co1 0.5000 0.5000 0.0000  6 Ga 2.28-2.35



Computed, not measured: a relaxed structure of CsGaCo3 at the PBE-GGA level of DFT.

Values from the calculation:
Energy of formation = 1.17 eV per atom
Crystal system = cubic
Theoretical density = 5.79 g cm⁻³
DOS(E_F) = 1.036 states/eV per atom

Lattice parameters (Å, degrees): 4.7751 4.7751 4.7751 90.00 90.00 90.00
Closest atoms and distances in Å follow each position.
Fractional positions:
Cs1 0.0000 0.0000 0.0000  12 Co 3.38
Ga1 0.5000 0.5000 0.5000  6 Co 2.39
Co1 0.0000 0.5000 0.5000  2 Ga 2.39
Co2 0.5000 0.0000 0.5000  2 Ga 2.39
Co3 0.5000 0.5000 0.0000  2 Ga 2.39



Computed, not measured: a relaxed structure of CsGaCoHg2 at the PBE-GGA level of DFT.

Values from the calculation:
Energy of formation = -0.01 eV per atom
Crystal system = tetragonal
Theoretical density = 8.22 g cm⁻³
DOS(E_F) = 0.470 states/eV per atom

Lattice parameters (Å, degrees): 5.3326 5.3326 4.7082 90.00 90.00 90.00
Closest atoms and distances in Å follow each position.
Fractional positions:
Cs1 0.0000 0.0000 0.0000  8 Hg 3.56, 4 Ga 3.77
Ga1 0.5000 0.5000 0.0000  2 Co 2.35
Co1 0.5000 0.5000 0.5000  2 Ga 2.35
Hg1 0.0000 0.5000 0.5000  2 Co 2.67
Hg2 0.5000 0.0000 0.5000  2 Co 2.67



Computed, not measured: a relaxed structure of CsInGa2Co at the PBE-GGA level of DFT.

Values from the calculation:
Energy of formation = 0.00 eV per atom
Crystal system = tetragonal
Theoretical density = 6.15 g cm⁻³
DOS(E_F) = 0.744 states/eV per atom

Lattice parameters (Å, degrees): 4.8499 4.8499 5.1184 90.00 90.00 90.00
Closest atoms and distances in Å follow each position.
Fractional positions:
Cs1 0.0000 0.0000 0.0000  4 In 3.43, 8 Ga 3.53
In1 0.5000 0.5000 0.0000  2 Co 2.56
Ga1 0.0000 0.5000 0.5000  2 Co 2.42
Ga2 0.5000 0.0000 0.5000  2 Co 2.42
Co1 0.5000 0.5000 0.5000  4 Ga 2.42, 2 In 2.56



Computed, not measured: a relaxed structure of CsTlGa2Co at the PBE-GGA level of DFT.

Values from the calculation:
Energy of formation = 0.72 eV per atom
Crystal system = tetragonal
Theoretical density = 5.36 g cm⁻³
DOS(E_F) = 0.990 states/eV per atom

Lattice parameters (Å, degrees): 5.6410 5.6410 5.2185 90.00 90.00 90.00
Closest atoms and distances in Å follow each position.
Fractional positions:
Cs1 0.0000 0.0000 0.0000  8 Ga 3.84, 4 Co 3.99
Tl1 0.5000 0.5000 0.5000  2 Co 2.61, 4 Ga 2.82
Ga1 0.0000 0.5000 0.5000  2 Tl 2.82
Ga2 0.5000 0.0000 0.5000  2 Tl 2.82
Co1 0.5000 0.5000 0.0000  2 Tl 2.61



Computed, not measured: a relaxed structure of CsTlGa2Co at the PBE-GGA level of DFT.

Values from the calculation:
Energy of formation = 0.04 eV per atom
Crystal system = tetragonal
Theoretical density = 7.18 g cm⁻³
DOS(E_F) = 0.710 states/eV per atom

Lattice parameters (Å, degrees): 4.8579 4.8579 5.2494 90.00 90.00 90.00
Closest atoms and distances in Å follow each position.
Fractional positions:
Cs1 0.0000 0.0000 0.0000  4 Tl 3.44, 8 Ga 3.58
Tl1 0.5000 0.5000 0.0000  2 Co 2.62
Ga1 0.0000 0.5000 0.5000  2 Co 2.43
Ga2 0.5000 0.0000 0.5000  2 Co 2.43
Co1 0.5000 0.5000 0.5000  4 Ga 2.43, 2 Tl 2.62



Computed, not measured: a relaxed structure of CsZnGa2Co at the PBE-GGA level of DFT.

Values from the calculation:
Energy of formation = -0.01 eV per atom
Crystal system = tetragonal
Theoretical density = 5.81 g cm⁻³
DOS(E_F) = 0.220 states/eV per atom

Lattice parameters (Å, degrees): 4.7478 4.7478 5.0263 90.00 90.00 90.00
Closest atoms and distances in Å follow each position.
Fractional positions:
Cs1 0.0000 0.0000 0.0000  4 Zn 3.36, 8 Ga 3.46
Zn1 0.5000 0.5000 0.0000  2 Co 2.51
Ga1 0.0000 0.5000 0.5000  2 Co 2.37
Ga2 0.5000 0.0000 0.5000  2 Co 2.37
Co1 0.5000 0.5000 0.5000  4 Ga 2.37, 2 Zn 2.51



Computed, not measured: a relaxed structure of CsGd2Co at the PBE-GGA level of DFT.

Values from the calculation:
Energy of formation = 0.11 eV per atom
Crystal system = trigonal
Theoretical density = 5.65 g cm⁻³
DOS(E_F) = 0.671 states/eV per atom

Lattice parameters (Å, degrees): 11.0223 11.0223 11.0223 20.87 20.87 20.87
Closest atoms and distances in Å follow each position.
Fractional positions:
Cs1 0.0000 0.0000 0.0000  2 Gd 3.99, 6 Cs 3.99
Gd1 0.1234 0.1234 0.1234  3 Co 2.70
Gd2 0.8766 0.8766 0.8766  3 Co 2.70
Co1 0.5000 0.5000 0.5000  6 Gd 2.70



Computed, not measured: a relaxed structure of CsCo2Ge2 at the PBE-GGA level of DFT.

Values from the calculation:
Energy of formation = 0.31 eV per atom
Crystal system = tetragonal
Theoretical density = 5.61 g cm⁻³
DOS(E_F) = 0.791 states/eV per atom

Lattice parameters (Å, degrees): 7.5364 7.5364 7.5364 148.38 148.38 45.32
Closest atoms and distances in Å follow each position.
Fractional positions:
Cs1 0.0000 0.0000 0.0000  8 Co 3.72, 8 Ge 4.04, 4 Cs 4.11
Co1 0.3334 0.3334 0.0000  4 Ge 2.36
Co2 0.6666 0.6666 0.0000  4 Ge 2.36
Ge1 0.2500 0.7500 0.5000  4 Co 2.36
Ge2 0.7500 0.2500 0.5000  4 Co 2.36



Computed, not measured: a relaxed structure of Cs2CoGeI6 at the PBE-GGA level of DFT.

Values from the calculation:
Crystal system = tetragonal
Theoretical density = 4.89 g cm⁻³
Formation energy from raw total energies = -0.661 eV per atom
DOS(E_F) = 2.186 states/eV per atom

Lattice parameters (Å, degrees): 8.2263 8.2263 8.2263 119.96 119.96 90.07
Closest atoms and distances in Å follow each position.
Fractional positions:
Cs1 0.2500 0.7500 0.5000  12 I 4.11-4.12
Cs2 0.7500 0.2500 0.5000  12 I 4.11-4.12
Co1 0.0000 0.0000 0.0000  6 I 2.81
Ge1 0.5000 0.5000 0.0000  6 I 3.00-3.01
I1 0.2416 0.2416 0.0000  1 Co 2.81, 1 Ge 3.00
I2 0.2418 0.2418 0.4836  1 Co 2.81, 1 Ge 3.01
I3 0.2418 0.7582 0.0000  1 Co 2.81, 1 Ge 3.01
I4 0.7582 0.2418 0.0000  1 Co 2.81, 1 Ge 3.01
I5 0.7584 0.7584 0.0000  1 Co 2.81, 1 Ge 3.00
I6 0.7582 0.7582 0.5164  1 Co 2.81, 1 Ge 3.01



Computed, not measured: a relaxed structure of Cs2CoGeN at the PBE-GGA level of DFT.

Values from the calculation:
Crystal system = tetragonal
Theoretical density = 4.59 g cm⁻³
Formation energy from raw total energies = 1.280 eV per atom
DOS(E_F) = 2.545 states/eV per atom

Lattice parameters (Å, degrees): 5.7679 5.7679 4.4729 90.00 90.00 90.00
Closest atoms and distances in Å follow each position.
Fractional positions:
Cs1 0.0000 0.5000 0.0000  2 Co 2.88
Cs2 0.5000 0.0000 0.0000  2 Co 2.88
Co1 0.0000 0.0000 0.0000  2 Ge 2.24
Ge1 0.0000 0.0000 0.5000  2 Co 2.24
N1 0.5000 0.5000 0.5000  8 Cs 3.65, 4 Ge 4.08